1.
Below is crystalline La4GaI2Cl at its relaxed geometry, with properties calculated at the GGA-PBE level.

Results
ΔE_f (raw) = -1.0849 eV per atom
crystal system = monoclinic

a b c (Å): 4.424 7.282 8.334
angles (deg): 108.81 90.00 90.00
Fractional positions:
La  0.500  0.758  0.794
La  0.000  0.730  0.204
La  0.500  0.242  0.206
La  0.000  0.270  0.796
Cl  0.500  0.500  0.000
I  0.000  0.500  0.500
I  0.500  0.000  0.500
Ga  0.000  0.000  0.000

=====

2.
Below is crystalline Cr2CdTcAg at its relaxed geometry, with properties calculated at the GGA-PBE level.

Results
crystal system = tetragonal
energy of formation from the pure elements = 2310 meV per atom

a b c (Å): 4.671 4.884 4.671
angles (deg): 90.00 90.00 90.00
Fractional positions:
Cd  0.000  0.500  0.000
Tc  0.500  0.500  0.500
Ag  0.000  0.000  0.000
Cr  0.000  0.000  0.500
Cr  0.500  0.000  0.000

=====

3.
Below is crystalline AgAsI6 at its relaxed geometry, with properties calculated at the GGA-PBE level.

Results
ΔE_f (raw) = -0.0397 eV per atom
crystal system = triclinic

a b c (Å): 7.156 10.762 8.255
angles (deg): 45.39 59.24 62.81
Fractional positions:
I  0.751  0.176  0.679
I  0.936  0.673  0.179
I  0.249  0.824  0.321
I  0.342  0.880  0.720
I  0.064  0.327  0.821
I  0.658  0.120  0.280
As  0.000  0.000  0.000
Ag  0.500  0.500  0.500

=====

4.
Below is crystalline Ti2PPd at its relaxed geometry, with properties calculated at the GGA-PBE level.

Results
crystal system = tetragonal
energy of formation from the pure elements = -452 meV per atom

a b c (Å): 6.938 6.938 5.580
angles (deg): 51.56 51.56 90.00
Fractional positions:
Ti  0.875  0.854  0.750
Ti  0.604  0.125  0.250
Ti  0.146  0.625  0.250
Ti  0.375  0.396  0.750
Pd  0.750  0.250  0.500
Pd  0.000  0.000  0.000
P  0.250  0.750  0.500
P  0.500  0.500  0.000

=====

5.
Below is crystalline La2Cd2Hg at its relaxed geometry, with properties calculated at the GGA-PBE level.

Results
crystal system = monoclinic
energy of formation from the pure elements = -204 meV per atom

a b c (Å): 8.040 8.040 6.110
angles (deg): 47.41 47.41 34.03
Fractional positions:
Cd  0.418  0.418  0.460
Cd  0.582  0.582  0.540
La  0.710  0.710  0.806
La  0.290  0.290  0.194
Hg  0.000  0.000  0.000

=====

6.
Below is crystalline NaHf2InN at its relaxed geometry, with properties calculated at the GGA-PBE level.

Results
ΔE_f (raw) = 2.3868 eV per atom
crystal system = tetragonal

a b c (Å): 4.955 4.812 4.955
angles (deg): 90.00 90.00 90.00
Fractional positions:
Hf  0.000  0.000  0.500
Hf  0.500  0.000  0.000
N  0.500  0.500  0.500
Na  0.000  0.000  0.000
In  0.000  0.500  0.000

=====

7.
Below is crystalline LiLa4Th3Se8 at its relaxed geometry, with properties calculated at the GGA-PBE level.

Results
ΔE_f (raw) = -1.7574 eV per atom
crystal system = trigonal

a b c (Å): 8.472 8.476 8.472
angles (deg): 119.98 120.00 90.00
Fractional positions:
Se  0.756  0.735  0.995
Se  0.240  0.735  0.479
Se  0.760  0.265  0.005
Se  0.244  0.265  0.005
Se  0.240  0.735  0.995
Se  0.251  0.254  0.503
Se  0.749  0.746  0.497
Se  0.760  0.265  0.521
Th  0.500  0.500  0.500
Th  0.000  0.500  0.500
Th  0.500  0.500  0.000
La  0.000  0.000  0.000
La  0.500  0.000  0.000
La  0.000  0.000  0.500
La  0.500  0.000  0.500
Li  0.000  0.500  0.000

=====

8.
Below is crystalline NdThPd2 at its relaxed geometry, with properties calculated at the GGA-PBE level.

Results
crystal system = monoclinic
energy of formation from the pure elements = -788 meV per atom

a b c (Å): 4.596 8.089 7.731
angles (deg): 136.39 90.00 90.00
Fractional positions:
Pd  0.750  0.188  0.880
Pd  0.250  0.812  0.120
Pd  0.750  0.171  0.391
Pd  0.250  0.829  0.609
Nd  0.750  0.729  0.794
Nd  0.250  0.271  0.206
Th  0.750  0.724  0.294
Th  0.250  0.276  0.706